{"formula": "PRhC", "functional": "PBE", "state": "optimized geometry", "dft_energy_ev_per_atom": -7.19, "volume_a3_per_atom": 12.233, "formation_enthalpy_0k_mev_per_atom": 140.6, "cell": [[2.861, -0.011, 0.000], [0.010, 2.899, 0.008], [0.005, 1.439, 4.429]], "species": ["Rh", "C", "P"], "fractional_positions": [[0.980, 0.137, 0.248], [0.480, 0.961, 0.599], [0.480, 0.345, 0.830]]}